No. 1
Entry from the Alexandria database: FeIr8Rh6 after structural relaxation (PBE).

Output
**Volume**: 15.4 Å³/atom
**SG**: No. 147
**E_form**: 0.319 eV/atom
**DOS(E_F)**: 19.3 states/eV/cell

Cell lengths 9.9334, 9.9334, 2.7040 Å; angles 90.00, 90.00, 120.00 degrees
Sites, in units of the cell vectors:
Fe 0.0000 0.0000 0.0000
Ir 0.0732 0.2705 0.7456
Ir 0.1973 0.9268 0.7456
Ir 0.2705 0.1973 0.2544
Ir 0.3333 0.6667 0.2518
Ir 0.6667 0.3333 0.7482
Ir 0.7295 0.8027 0.7456
Ir 0.8027 0.0732 0.2544
Ir 0.9268 0.7295 0.2544
Rh 0.0967 0.6281 0.7498
Rh 0.3719 0.4686 0.7498
Rh 0.4686 0.0967 0.2502
Rh 0.5314 0.9033 0.7498
Rh 0.6281 0.5314 0.2502
Rh 0.9033 0.3719 0.2502


No. 2
Entry from the Alexandria database: TlCO2F after structural relaxation (PBE).

Output
**Volume**: 16.1 Å³/atom
**SG**: No. 12
**ΔE_f (raw)**: -0.87 eV per atom
**DOS(E_F)**: 2.0 states/eV/cell

Cell lengths 8.1694, 8.1694, 7.6801 Å; angles 97.78, 97.78, 18.53 degrees
Sites, in units of the cell vectors:
Tl 0.1453 0.1453 0.3863
Tl 0.8547 0.8547 0.6137
C 0.4057 0.4057 0.1291
C 0.5943 0.5943 0.8709
O 0.1159 0.1159 0.9710
O 0.4408 0.4408 0.2756
O 0.5592 0.5592 0.7244
O 0.8841 0.8841 0.0290
F 0.2314 0.2314 0.6632
F 0.7686 0.7686 0.3368


No. 3
Entry from the Alexandria database: LaCo4Ir after structural relaxation (PBE).

Output
**Volume**: 14.7 Å³/atom
**SG**: No. 216
**E_form**: 0.090 eV/atom
**DOS(E_F)**: 8.9 states/eV/cell

Cell lengths 4.9951, 4.9951, 4.9951 Å; angles 60.00, 60.00, 60.00 degrees
Sites, in units of the cell vectors:
La 0.0000 0.0000 0.0000
Co 0.1286 0.6238 0.6238
Co 0.6238 0.1286 0.6238
Co 0.6238 0.6238 0.1286
Co 0.6238 0.6238 0.6238
Ir 0.2500 0.2500 0.2500


No. 4
Entry from the Alexandria database: Be2AsN after structural relaxation (PBE).

Output
**Energy above the most stable polymorph in this dataset**: 1382 meV/atom
**Volume**: 10.8 Å³/atom
**SG**: No. 225
**ΔE_f (raw)**: 1.09 eV per atom
**DOS(E_F)**: 1.6 states/eV/cell

Cell lengths 3.9336, 3.9336, 3.9336 Å; angles 60.00, 60.00, 60.00 degrees
Sites, in units of the cell vectors:
Be 0.2500 0.2500 0.2500
Be 0.7500 0.7500 0.7500
As 0.0000 0.0000 0.0000
N 0.5000 0.5000 0.5000


No. 5
Entry from the Alexandria database: Cs3CaI after structural relaxation (PBE).

Output
**Energy above the most stable polymorph in this dataset**: 0 meV/atom
**Volume**: 84.0 Å³/atom
**SG**: No. 221
**ΔE_f (raw)**: -0.38 eV per atom
**DOS(E_F)**: 5.7 states/eV/cell

Cell lengths 7.4887, 7.4887, 7.4887 Å; angles 90.00, 90.00, 90.00 degrees
Sites, in units of the cell vectors:
Cs 0.0000 0.0000 0.5000
Cs 0.0000 0.5000 0.0000
Cs 0.5000 0.0000 0.0000
Ca 0.5000 0.5000 0.5000
I 0.0000 0.0000 0.0000


No. 6
Entry from the Alexandria database: NiSn2SbPb after structural relaxation (PBE).

Output
**Volume**: 26.4 Å³/atom
**SG**: No. 123
**ΔE_f (raw)**: 0.06 eV per atom
**DOS(E_F)**: 2.2 states/eV/cell

Cell lengths 4.9639, 4.9639, 5.3637 Å; angles 90.00, 90.00, 90.00 degrees
Sites, in units of the cell vectors:
Ni 0.0000 0.0000 0.0000
Sn 0.0000 0.5000 0.0000
Sn 0.5000 0.0000 0.0000
Sb 0.5000 0.5000 0.5000
Pb 0.0000 0.0000 0.5000


No. 7
Entry from the Alexandria database: DyB3Os after structural relaxation (PBE).

Output
**Volume**: 13.0 Å³/atom
**SG**: No. 63
**E_form**: -0.262 eV/atom
**DOS(E_F)**: 2.2 states/eV/cell

Cell lengths 6.4487, 6.4487, 5.4413 Å; angles 90.00, 90.00, 145.02 degrees
Sites, in units of the cell vectors:
Dy 0.0987 0.9013 0.7500
Dy 0.9013 0.0987 0.2500
B 0.1133 0.8867 0.2500
B 0.2544 0.7456 0.0973
B 0.2544 0.7456 0.4027
B 0.7456 0.2544 0.5973
B 0.7456 0.2544 0.9027
B 0.8867 0.1133 0.7500
Os 0.3384 0.6616 0.7500
Os 0.6616 0.3384 0.2500


No. 8
Entry from the Alexandria database: LaTb2Gd after structural relaxation (PBE).

Output
**Energy above the most stable polymorph in this dataset**: 92 meV/atom
**Volume**: 33.8 Å³/atom
**SG**: No. 225
**E_form**: 0.113 eV/atom
**DOS(E_F)**: 8.6 states/eV/cell

Cell lengths 5.7611, 5.7611, 5.7611 Å; angles 60.00, 60.00, 60.00 degrees
Sites, in units of the cell vectors:
La 0.0000 0.0000 0.0000
Tb 0.2500 0.2500 0.2500
Tb 0.7500 0.7500 0.7500
Gd 0.5000 0.5000 0.5000